## LaFeOF2 (PBE+U)

Data for an optimized crystal structure of LaFeOF2. Values from VASP.

```
&SYSTEM
  ibrav = 0, nat = 5, ntyp = 4
/
ATOMIC_SPECIES
O 16.00 O.upf
F 19.00 F.upf
La 138.91 La.upf
Fe 55.84 Fe.upf
CELL_PARAMETERS angstrom
4.735 0.000 0.000
0.000 4.735 0.000
0.000 0.000 4.621
ATOMIC_POSITIONS crystal
O 0.000 0.000 0.500
F 0.500 0.000 0.000
F 0.000 0.500 0.000
La 0.000 0.000 0.000
Fe 0.500 0.500 0.500
```

Properties
crystal system	tetragonal
spin magnetization	5.0	μB per formula unit
V	20.7	Å³ per atom
E	-6.07	eV/atom